DFT (PBE) results for EuIn2Ag after structural relaxation.

Values from the calculation:
Total energy ... -4.91 eV per atom
Calculated volume ... 395 Å³ per cell

Cell: 7.3382 7.3382 7.3382 Å, 90.00 90.00 90.00°
Last column: nearest neighbours and their distance in Å.
Space group Fm-3m (No. 225)
Asymmetric unit:
Eu  0.0000  0.0000  0.0000 (multiplicity 4)  8 In 3.18
In  0.2500  0.2500  0.2500 (multiplicity 8)  4 Eu 3.18, 4 Ag 3.18
Ag  0.0000  0.0000  0.5000 (multiplicity 4)  8 In 3.18

***

DFT (PBE) results for Rb3AgSn2Br9 after structural relaxation.

Values from the calculation:
Total energy ... -3.01 eV per atom
Formation energy (no corrections) ... -1091 meV per atom
Calculated volume ... 552 Å³ per cell

Cell: 8.0359 8.0359 9.8701 Å, 90.00 90.00 120.00°
Last column: nearest neighbours and their distance in Å.
Space group P-3m1 (No. 164)
Asymmetric unit:
Rb  0.0000  0.0000  0.0000 (multiplicity 1)  12 Br 4.02-4.06
Rb  0.3333  0.6667  0.6506 (multiplicity 2)  12 Br 3.87-4.16
Ag  0.0000  0.0000  0.5000 (multiplicity 1)  6 Br 2.81
Sn  0.3333  0.6667  0.1768 (multiplicity 2)  6 Br 2.82-2.90
Br  0.0000  0.5000  0.0000 (multiplicity 3)  2 Sn 2.90
Br  0.1662  0.3323  0.3376 (multiplicity 6)  1 Ag 2.81, 1 Sn 2.82

***

DFT (PBE) results for SrCu2P after structural relaxation.

Values from the calculation:
Total energy ... -3.70 eV per atom
Calculated volume ... 77 Å³ per cell

Cell: 4.1960 4.1960 4.3506 Å, 90.00 90.00 90.00°
Last column: nearest neighbours and their distance in Å.
Space group P4/mmm (No. 123)
Asymmetric unit:
Sr  0.0000  0.0000  0.0000 (multiplicity 1)  4 P 2.97, 8 Cu 3.02
Cu  0.0000  0.5000  0.5000 (multiplicity 2)  4 Cu 2.97, 4 P 3.02, 4 Sr 3.02
P  0.5000  0.5000  0.0000 (multiplicity 1)  4 Sr 2.97, 8 Cu 3.02

***

DFT (PBE) results for SnBI3 after structural relaxation.

Values from the calculation:
Total energy ... -2.52 eV per atom
Formation energy (no corrections) ... 543 meV per atom
Calculated volume ... 143 Å³ per cell

Cell: 5.2232 5.2232 5.2232 Å, 90.00 90.00 90.00°
Last column: nearest neighbours and their distance in Å.
Space group Pm-3m (No. 221)
Asymmetric unit:
Sn  0.0000  0.0000  0.0000 (multiplicity 1)  12 I 3.69
B  0.5000  0.5000  0.5000 (multiplicity 1)  6 I 2.61
I  0.0000  0.5000  0.5000 (multiplicity 3)  2 B 2.61

***

DFT (PBE) results for TlCd4In after structural relaxation.

Values from the calculation:
Total energy ... -1.41 eV per atom
Calculated volume ... 157 Å³ per cell

Cell: 3.4748 5.0781 8.8768 Å, 90.00 90.00 90.00°
Last column: nearest neighbours and their distance in Å.
Space group Pmmm (No. 47)
Asymmetric unit:
Tl  0.0000  0.0000  0.0000 (multiplicity 1)  12 Cd 3.42-3.46, 2 Tl 3.47
Cd  0.5000  0.0000  0.3371 (multiplicity 2)  3 Cd 2.89-2.94
Cd  0.5000  0.5000  0.1692 (multiplicity 2)  3 Cd 2.94-3.00
In  0.0000  0.5000  0.5000 (multiplicity 1)  12 Cd 3.40-3.41, 2 In 3.47

***

DFT (PBE) results for Er4SeS3 after structural relaxation.

Values from the calculation:
Total energy ... -6.12 eV per atom
Formation energy (no corrections) ... -1856 meV per atom
Calculated volume ... 169 Å³ per cell

Cell: 5.5299 5.5299 5.5299 Å, 90.00 90.00 90.00°
Last column: nearest neighbours and their distance in Å.
Space group Pm-3m (No. 221)
Asymmetric unit:
Er  0.0000  0.0000  0.0000 (multiplicity 1)  6 S 2.76
Er  0.0000  0.5000  0.5000 (multiplicity 3)  4 S 2.76, 2 Se 2.76
Se  0.5000  0.5000  0.5000 (multiplicity 1)  6 Er 2.76
S  0.0000  0.0000  0.5000 (multiplicity 3)  6 Er 2.76

***

DFT (PBE) results for ScTi2Pt3 after structural relaxation.

Values from the calculation:
Total energy ... -7.68 eV per atom
Calculated volume ... 199 Å³ per cell

Cell: 4.7228 6.1709 7.2199 Å, 90.00 108.89 90.00°
Last column: nearest neighbours and their distance in Å.
Space group P2/m (No. 10)
Asymmetric unit:
Sc  0.2086  0.0000  0.3380 (multiplicity 2)  8 Pt 2.75-2.97, 1 Sc 2.98
Ti  0.2326  0.5000  0.3550 (multiplicity 2)  1 Ti 2.71, 8 Pt 2.76-2.86
Ti  0.5000  0.0000  0.0000 (multiplicity 1)  8 Pt 2.69-2.85
Ti  0.5000  0.5000  0.0000 (multiplicity 1)  8 Pt 2.63-2.79
Pt  0.0000  0.2592  0.0000 (multiplicity 2)  6 Ti 2.79-2.86, 2 Sc 2.82, 3 Pt 2.95-2.97
Pt  0.2752  0.2588  0.6863 (multiplicity 4)  5 Ti 2.63-2.86, 2 Sc 2.75-2.91

***

DFT (PBE) results for LaAl4Ir2Ru after structural relaxation.

Values from the calculation:
Total energy ... -6.65 eV per atom
Calculated volume ... 421 Å³ per cell

Cell: 4.2459 4.2459 26.9350 Å, 90.00 90.00 120.00°
Last column: nearest neighbours and their distance in Å.
Space group R-3m (No. 166, hexagonal axes)
Asymmetric unit:
La  0.0000  0.0000  0.0000 (multiplicity 3)  6 Al 3.18
Al  0.0000  0.0000  0.1344 (multiplicity 6)  3 Ru 2.60, 4 Ir 2.63-2.70
Al  0.0000  0.0000  0.4087 (multiplicity 6)  1 Ru 2.46, 3 Ir 2.53
Ir  0.0000  0.0000  0.2345 (multiplicity 6)  7 Al 2.53-2.70
Ru  0.0000  0.0000  0.5000 (multiplicity 3)  8 Al 2.46-2.60